(1)
VASP calculation (PBE-GGA) on a relaxed structure of HoGa4Ag12.

Calculated density, g/cm3: 7.90
V, A^3/atom: 21.5
ΔH_f (0 K), eV/atom: 0.24
Total moment, μB/atom: 0.00
Energy, eV per cell: -46.90
Space group: No. 204

a b c (Å): 7.800 7.800 7.800
angles (deg): 109.47 109.47 109.47
Positions (direct):
Ho1 0.000 0.000 0.000
Ga1 0.000 0.000 0.500
Ga2 0.000 0.500 0.000
Ga3 0.500 0.000 0.000
Ga4 0.500 0.500 0.500
Ag1 0.154 0.345 0.498
Ag2 0.154 0.655 0.809
Ag3 0.191 0.846 0.345
Ag4 0.345 0.191 0.846
Ag5 0.345 0.498 0.154
Ag6 0.498 0.154 0.345
Ag7 0.502 0.846 0.655
Ag8 0.655 0.502 0.846
Ag9 0.655 0.809 0.154
Ag10 0.809 0.154 0.655
Ag11 0.846 0.345 0.191
Ag12 0.846 0.655 0.502

***

(2)
VASP calculation (PBE-GGA) on a relaxed structure of Ho6Ga2Ag.

Offset from the most stable computed form, eV per atom: 0.0000
Calculated density, g/cm3: 8.64
V, A^3/atom: 26.4
ΔH_f (0 K), eV/atom: -0.35
Total moment, μB/atom: 0.00
Energy, eV per cell: -78.97
Space group: No. 71

a b c (Å): 8.526 8.526 8.526
angles (deg): 111.88 110.92 105.68
Positions (direct):
Ho1 0.029 0.824 0.205
Ho2 0.249 0.552 0.304
Ho3 0.249 0.945 0.696
Ho4 0.273 0.321 0.594
Ho5 0.273 0.679 0.952
Ho6 0.381 0.176 0.205
Ho7 0.619 0.824 0.795
Ho8 0.727 0.321 0.048
Ho9 0.727 0.679 0.406
Ho10 0.751 0.055 0.304
Ho11 0.751 0.448 0.696
Ho12 0.971 0.176 0.795
Ga1 0.000 0.144 0.144
Ga2 0.000 0.856 0.856
Ga3 0.377 0.377 0.000
Ga4 0.623 0.623 0.000
Ag1 0.000 0.500 0.500
Ag2 0.500 0.000 0.500

***

(3)
VASP calculation (PBE-GGA) on a relaxed structure of Ho2Ga3Ag2.

Offset from the most stable computed form, eV per atom: 0.0331
Calculated density, g/cm3: 8.81
V, A^3/atom: 20.3
ΔH_f (0 K), eV/atom: -0.42
Total moment, μB/atom: 0.00
Energy, eV per cell: -26.89
Space group: No. 12

a b c (Å): 5.764 5.764 6.675
angles (deg): 112.51 112.51 44.84
Positions (direct):
Ho1 0.149 0.149 0.272
Ho2 0.851 0.851 0.728
Ga1 0.405 0.405 0.069
Ga2 0.500 0.500 0.500
Ga3 0.595 0.595 0.931
Ag1 0.149 0.149 0.744
Ag2 0.851 0.851 0.256

***

Question: The highest calculated density belongs to which entry?
Answer: Ho2Ga3Ag2

***

Question: The highest energy belongs to which entry?
Answer: Ho2Ga3Ag2